[1]
A plane-wave DFT calculation with PBE-GGA was carried out for an optimized crystal structure of V13Ga2. Values from VASP.

The structure in Quantum ESPRESSO input format:
```
&SYSTEM
  ibrav = 0, nat = 15, ntyp = 2
/
ATOMIC_SPECIES
V 50.94 V.upf
Ga 69.72 Ga.upf
CELL_PARAMETERS angstrom
6.738 0.000 0.000
3.369 5.835 0.000
3.369 1.945 6.180
ATOMIC_POSITIONS crystal
V 0.748 0.139 0.364
V 0.139 0.748 0.364
V 0.004 0.379 0.239
V 0.500 0.500 0.500
V 0.379 0.379 0.239
V 0.252 0.861 0.636
V 0.621 0.621 0.761
V 0.252 0.252 0.636
V 0.379 0.004 0.239
V 0.748 0.748 0.364
V 0.621 0.996 0.761
V 0.861 0.252 0.636
V 0.996 0.621 0.761
Ga 0.366 0.366 0.901
Ga 0.634 0.634 0.099
```

[2]
A plane-wave DFT calculation with PBE-GGA was carried out for an optimized crystal structure of VGa5. Values from VASP.

The structure in Quantum ESPRESSO input format:
```
&SYSTEM
  ibrav = 0, nat = 6, ntyp = 2
/
ATOMIC_SPECIES
Ga 69.72 Ga.upf
V 50.94 V.upf
CELL_PARAMETERS angstrom
3.813 0.000 0.000
0.000 3.804 0.000
0.000 -1.902 6.706
ATOMIC_POSITIONS crystal
Ga 0.500 0.166 0.332
Ga 0.000 0.653 0.306
Ga 0.500 0.500 0.000
Ga 0.500 0.834 0.668
Ga 0.000 0.347 0.694
V 0.000 0.000 0.000
```

[3]
A plane-wave DFT calculation with PBE-GGA was carried out for an optimized crystal structure of VGa2. Values from VASP.

The structure in Quantum ESPRESSO input format:
```
&SYSTEM
  ibrav = 0, nat = 6, ntyp = 2
/
ATOMIC_SPECIES
Ga 69.72 Ga.upf
V 50.94 V.upf
CELL_PARAMETERS angstrom
5.011 0.000 0.000
2.505 4.339 0.000
2.505 1.446 4.091
ATOMIC_POSITIONS crystal
Ga 0.625 0.125 0.625
Ga 0.125 0.625 0.625
Ga 0.625 0.625 0.625
Ga 0.625 0.625 0.125
V 0.000 0.000 0.000
V 0.250 0.250 0.250
```

[4]
A plane-wave DFT calculation with PBE-GGA was carried out for an optimized crystal structure of V5Ga. Values from VASP.

The structure in Quantum ESPRESSO input format:
```
&SYSTEM
  ibrav = 0, nat = 6, ntyp = 2
/
ATOMIC_SPECIES
V 50.94 V.upf
Ga 69.72 Ga.upf
CELL_PARAMETERS angstrom
3.752 -0.529 2.064
0.460 4.245 0.253
-0.271 -0.265 4.933
ATOMIC_POSITIONS crystal
V 0.672 0.500 0.157
V 0.328 0.500 0.843
V 0.500 0.000 0.500
V 0.176 0.000 0.147
V 0.824 0.000 0.853
Ga 0.000 0.500 0.500
```

Summary:
- ΔE to the lowest computed polymorph: 43 meV per atom

Looking at V for the records above, in order, we have 243; 97; 44; 82 Å³/f.u..
Looking at DFT total energy for the records above, in order, we have -116.23; -24.03; -29.43; -49.05 eV for the cell shown.